Material: GaSbS4
Method: DFT, PBE
State: optimized geometry

## Properties
Formation energy from raw total energies   -0.253 eV/atom
V   296 Å³ per cell
Total moment   0.000 μB per formula unit

Structure (POSCAR):
```
GaSbS4
1.0
3.578 0.000 0.000
0.000 6.184 0.052
0.000 -0.040 13.378
Ga Sb S
2 2 8
Direct
0.500 0.500 0.500 Ga
0.000 0.000 0.000 Ga
0.000 0.000 0.500 Sb
0.500 0.500 0.000 Sb
0.500 0.170 0.388 S
0.000 0.330 0.112 S
0.500 0.830 0.612 S
0.000 0.670 0.888 S
0.000 0.666 0.396 S
0.500 0.834 0.104 S
0.000 0.334 0.604 S
0.500 0.166 0.896 S
```



Material: Ga2SbS
Method: DFT, PBE
State: optimized geometry

## Properties
Formation energy from raw total energies   -0.153 eV/atom
V   221 Å³ per cell
Total moment   0.000 μB per formula unit
Relative energy among the computed polymorphs   0 meV/atom

Structure (POSCAR):
```
Ga2SbS
1.0
5.980 0.000 0.000
0.000 5.980 0.000
2.990 2.990 6.182
Sb S Ga
2 2 4
Direct
0.000 0.000 0.000 Sb
0.750 0.250 0.500 Sb
0.500 0.500 0.000 S
0.250 0.750 0.500 S
0.597 0.125 0.250 Ga
0.153 0.625 0.250 Ga
0.375 0.403 0.750 Ga
0.875 0.847 0.750 Ga
```



Material: Ga2SbS
Method: DFT, PBE
State: optimized geometry

## Properties
Formation energy from raw total energies   0.136 eV/atom
V   84 Å³ per cell
Total moment   0.000 μB per formula unit
Relative energy among the computed polymorphs   289 meV/atom

Structure (POSCAR):
```
Ga2SbS
1.0
2.818 -1.782 3.619
-2.080 -2.170 3.897
0.420 -4.863 0.624
Sb S Ga
1 1 2
Direct
0.500 0.500 0.500 Sb
0.000 0.000 0.000 S
0.250 0.250 0.250 Ga
0.750 0.750 0.750 Ga
```



Material: GaSbS2
Method: DFT, PBE
State: optimized geometry

## Properties
Formation energy from raw total energies   -0.086 eV/atom
V   177 Å³ per cell
Total moment   0.000 μB per formula unit

Structure (POSCAR):
```
GaSbS2
1.0
-0.756 1.857 -6.690
-5.978 -3.595 -0.323
-5.199 2.084 -2.479
Sb S Ga
2 4 2
Direct
0.000 0.000 0.000 Sb
0.750 0.250 0.500 Sb
0.595 0.125 0.250 S
0.155 0.625 0.250 S
0.375 0.405 0.750 S
0.875 0.845 0.750 S
0.500 0.500 0.000 Ga
0.250 0.750 0.500 Ga
```



Material: GaSbS
Method: DFT, PBE
State: optimized geometry

## Properties
Formation energy from raw total energies   -0.349 eV/atom
V   158 Å³ per cell
Total moment   0.000 μB per formula unit

Structure (POSCAR):
```
GaSbS
1.0
-3.398 -0.555 0.022
0.122 -0.987 -5.984
2.914 -7.105 1.232
Ga Sb S
2 2 2
Direct
0.692 0.297 0.883 Ga
0.308 0.797 0.117 Ga
0.484 0.832 0.469 Sb
0.516 0.332 0.531 Sb
0.285 0.403 0.069 S
0.715 0.903 0.931 S
```



Material: GaSbS2
Method: DFT, PBE
State: optimized geometry

## Properties
Formation energy from raw total energies   -0.058 eV/atom
V   110 Å³ per cell
Total moment   0.000 μB per formula unit

Structure (POSCAR):
```
GaSbS2
1.0
-3.223 6.347 5.015
0.468 7.458 4.468
-2.220 8.233 1.761
Sb S Ga
1 2 1
Direct
0.500 0.500 0.500 Sb
0.896 0.896 0.896 S
0.104 0.104 0.104 S
0.000 0.000 0.000 Ga
```



Material: GaSbS2
Method: DFT, PBE
State: optimized geometry

## Properties
Formation energy from raw total energies   -0.339 eV/atom
V   89 Å³ per cell
Total moment   0.000 μB per formula unit

Structure (POSCAR):
```
GaSbS2
1.0
2.050 0.000 8.120
-1.025 1.775 8.120
-1.025 -1.775 8.120
Sb S Ga
1 2 1
Direct
0.000 0.000 0.000 Sb
0.889 0.889 0.889 S
0.111 0.111 0.111 S
0.500 0.500 0.500 Ga
```



Material: GaSb2S5
Method: DFT, PBE
State: optimized geometry

## Properties
Formation energy from raw total energies   -0.158 eV/atom
V   406 Å³ per cell
Total moment   0.000 μB per formula unit

Structure (POSCAR):
```
GaSb2S5
1.0
-2.692 -4.562 0.252
6.629 -0.792 0.671
-1.088 1.322 12.302
Ga Sb S
2 4 10
Direct
0.792 0.584 0.750 Ga
0.208 0.416 0.250 Ga
0.853 0.706 0.434 Sb
0.853 0.706 0.066 Sb
0.147 0.294 0.566 Sb
0.147 0.294 0.934 Sb
0.944 0.888 0.878 S
0.944 0.888 0.622 S
0.325 0.649 0.409 S
0.325 0.649 0.091 S
0.737 0.475 0.250 S
0.263 0.525 0.750 S
0.675 0.351 0.591 S
0.675 0.351 0.909 S
0.056 0.112 0.122 S
0.056 0.112 0.378 S
```



Material: Ga3SbS
Method: DFT, PBE
State: optimized geometry

## Properties
Formation energy from raw total energies   0.213 eV/atom
V   120 Å³ per cell
Total moment   0.000 μB per formula unit
Relative energy among the computed polymorphs   0 meV/atom

Structure (POSCAR):
```
Ga3SbS
1.0
4.934 0.000 0.000
0.000 4.934 0.000
0.000 0.000 4.934
Sb S Ga
1 1 3
Direct
0.500 0.500 0.500 Sb
0.000 0.000 0.000 S
0.000 0.500 0.000 Ga
0.000 0.000 0.500 Ga
0.500 0.000 0.000 Ga
```



Material: Ga2Sb2S7
Method: DFT, PBE
State: optimized geometry

## Properties
Formation energy from raw total energies   -0.153 eV/atom
V   282 Å³ per cell
Total moment   0.001 μB per formula unit

Structure (POSCAR):
```
Ga2Sb2S7
1.0
6.119 -0.002 -0.003
-0.675 6.907 0.299
-0.675 -2.145 6.572
Ga Sb S
2 2 7
Direct
0.900 0.242 0.242 Ga
0.100 0.758 0.758 Ga
0.500 0.313 0.687 Sb
0.500 0.687 0.313 Sb
0.272 0.923 0.559 S
0.728 0.441 0.077 S
0.728 0.077 0.441 S
0.272 0.559 0.923 S
0.000 0.000 0.000 S
0.753 0.587 0.587 S
0.247 0.413 0.413 S
```



Material: GaSbS2
Method: DFT, PBE
State: optimized geometry

## Properties
Formation energy from raw total energies   0.061 eV/atom
V   80 Å³ per cell
Total moment   0.000 μB per formula unit

Structure (POSCAR):
```
GaSbS2
1.0
3.097 -1.076 3.548
-1.361 -2.935 3.587
1.858 -4.448 0.318
Sb S Ga
1 2 1
Direct
0.500 0.500 0.500 Sb
0.250 0.250 0.250 S
0.750 0.750 0.750 S
0.000 0.000 0.000 Ga
```



Material: GaSb2S6
Method: DFT, PBE
State: optimized geometry

## Properties
Formation energy from raw total energies   -0.030 eV/atom
V   416 Å³ per cell
Total moment   0.000 μB per formula unit

Structure (POSCAR):
```
GaSb2S6
1.0
-1.142 -4.770 3.501
-0.251 -3.523 -4.883
11.246 -2.037 0.893
Ga Sb S
2 4 12
Direct
0.000 0.000 0.000 Ga
0.500 0.500 0.500 Ga
0.000 0.000 0.334 Sb
0.500 0.500 0.834 Sb
0.500 0.500 0.166 Sb
0.000 0.000 0.666 Sb
0.310 0.310 0.339 S
0.690 0.690 0.339 S
0.190 0.810 0.839 S
0.810 0.190 0.839 S
0.190 0.810 0.161 S
0.810 0.190 0.161 S
0.310 0.310 0.661 S
0.690 0.690 0.661 S
0.299 0.299 0.000 S
0.701 0.701 0.000 S
0.201 0.799 0.500 S
0.799 0.201 0.500 S
```



Material: Ga5Sb3S12
Method: DFT, PBE
State: optimized geometry

## Properties
Formation energy from raw total energies   -0.394 eV/atom
V   1731 Å³ per cell
Total moment   0.000 μB per formula unit

Structure (POSCAR):
```
Ga5Sb3S12
1.0
-5.311 -9.951 6.662
10.016 -4.416 -7.197
4.327 9.068 8.406
Sb Ga S
12 20 48
Direct
0.750 0.375 0.125 Sb
0.875 0.750 0.125 Sb
0.375 0.750 0.625 Sb
0.250 0.125 0.375 Sb
0.875 0.125 0.250 Sb
0.375 0.625 0.250 Sb
0.625 0.375 0.750 Sb
0.125 0.875 0.750 Sb
0.750 0.875 0.625 Sb
0.625 0.250 0.375 Sb
0.125 0.250 0.875 Sb
0.250 0.625 0.875 Sb
0.125 0.375 0.250 Ga
0.000 0.500 0.000 Ga
0.000 0.000 0.000 Ga
0.375 0.250 0.125 Ga
0.500 0.000 0.500 Ga
0.500 0.500 0.000 Ga
0.125 0.750 0.375 Ga
0.750 0.125 0.875 Ga
0.750 0.625 0.375 Ga
0.375 0.125 0.750 Ga
0.625 0.875 0.250 Ga
0.500 0.500 0.500 Ga
0.500 0.000 0.000 Ga
0.000 0.000 0.500 Ga
0.250 0.375 0.625 Ga
0.250 0.875 0.125 Ga
0.000 0.500 0.500 Ga
0.875 0.250 0.625 Ga
0.625 0.750 0.875 Ga
0.875 0.625 0.750 Ga
0.709 0.123 0.032 S
0.323 0.532 0.408 S
0.968 0.377 0.291 S
0.532 0.209 0.123 S
0.586 0.709 0.677 S
0.968 0.592 0.177 S
0.323 0.791 0.414 S
0.092 0.914 0.123 S
0.592 0.968 0.677 S
0.709 0.586 0.177 S
0.791 0.468 0.377 S
0.823 0.908 0.032 S
0.123 0.709 0.532 S
0.377 0.408 0.086 S
0.086 0.908 0.377 S
0.414 0.123 0.592 S
0.086 0.177 0.209 S
0.468 0.677 0.092 S
0.823 0.914 0.291 S
0.123 0.414 0.092 S
0.377 0.968 0.791 S
0.592 0.623 0.414 S
0.908 0.823 0.532 S
0.791 0.323 0.914 S
0.408 0.377 0.586 S
0.092 0.177 0.468 S
0.209 0.677 0.086 S
0.177 0.086 0.709 S
0.623 0.032 0.209 S
0.877 0.586 0.908 S
0.532 0.323 0.908 S
0.586 0.877 0.408 S
0.914 0.823 0.791 S
0.914 0.092 0.623 S
0.877 0.291 0.468 S
0.177 0.092 0.968 S
0.623 0.592 0.914 S
0.408 0.032 0.323 S
0.291 0.414 0.823 S
0.209 0.532 0.623 S
0.908 0.086 0.877 S
0.677 0.209 0.586 S
0.468 0.791 0.877 S
0.032 0.408 0.823 S
0.414 0.291 0.323 S
0.032 0.623 0.709 S
0.677 0.468 0.592 S
0.291 0.877 0.968 S
```



Material: Ga2SbS6
Method: DFT, PBE
State: optimized geometry

## Properties
Formation energy from raw total energies   -0.249 eV/atom
V   447 Å³ per cell
Total moment   0.000 μB per formula unit

Structure (POSCAR):
```
Ga2SbS6
1.0
-1.799 -2.512 6.145
6.191 -5.215 1.315
3.483 5.556 4.925
Ga Sb S
4 2 12
Direct
0.188 0.589 0.771 Ga
0.312 0.229 0.411 Ga
0.812 0.411 0.229 Ga
0.688 0.771 0.589 Ga
0.250 0.106 0.894 Sb
0.750 0.894 0.106 Sb
0.427 0.626 0.521 S
0.073 0.479 0.374 S
0.573 0.374 0.479 S
0.927 0.521 0.626 S
0.821 0.926 0.393 S
0.679 0.607 0.074 S
0.179 0.074 0.607 S
0.321 0.393 0.926 S
0.133 0.804 0.955 S
0.367 0.045 0.196 S
0.867 0.196 0.045 S
0.633 0.955 0.804 S
```



Material: Ga3SbS
Method: DFT, PBE
State: optimized geometry

## Properties
Formation energy from raw total energies   0.558 eV/atom
V   156 Å³ per cell
Total moment   0.000 μB per formula unit
Relative energy among the computed polymorphs   345 meV/atom

Structure (POSCAR):
```
Ga3SbS
1.0
5.379 0.000 0.000
0.000 5.379 0.000
0.000 0.000 5.379
Sb S Ga
1 1 3
Direct
0.000 0.000 0.000 Sb
0.500 0.500 0.500 S
0.000 0.500 0.000 Ga
0.000 0.000 0.500 Ga
0.500 0.000 0.000 Ga
```



Material: GaSiSbS2
Method: DFT, PBE
State: optimized geometry

## Properties
Formation energy from raw total energies   0.510 eV/atom
V   108 Å³ per cell
Total moment   0.000 μB per formula unit

Structure (POSCAR):
```
GaSiSbS2
1.0
4.749 0.000 0.000
0.000 4.769 0.000
0.000 0.000 4.749
Sb S Si Ga
1 2 1 1
Direct
0.500 0.500 0.500 Sb
0.000 0.000 0.500 S
0.500 0.000 0.000 S
0.000 0.500 0.000 Si
0.000 0.000 0.000 Ga
```



Material: Sm4GaSbS9
Method: DFT, PBE
State: optimized geometry

## Properties
Formation energy from raw total energies   -1.547 eV/atom
V   1397 Å³ per cell
Total moment   0.000 μB per formula unit

Structure (POSCAR):
```
Sm4GaSbS9
1.0
10.085 -0.044 0.000
-0.195 10.084 0.000
0.000 0.000 13.742
Sm Ga Sb S
16 4 4 36
Direct
0.909 0.873 0.187 Sm
0.127 0.091 0.813 Sm
0.409 0.373 0.313 Sm
0.627 0.591 0.687 Sm
0.683 0.664 0.400 Sm
0.336 0.317 0.600 Sm
0.183 0.164 0.100 Sm
0.836 0.817 0.900 Sm
0.957 0.375 0.316 Sm
0.625 0.043 0.684 Sm
0.457 0.875 0.184 Sm
0.125 0.543 0.816 Sm
0.669 0.552 0.105 Sm
0.448 0.331 0.895 Sm
0.169 0.052 0.395 Sm
0.948 0.831 0.605 Sm
0.176 0.614 0.092 Ga
0.386 0.824 0.908 Ga
0.676 0.114 0.408 Ga
0.886 0.324 0.592 Ga
0.162 0.676 0.387 Sb
0.324 0.838 0.613 Sb
0.662 0.176 0.113 Sb
0.824 0.338 0.887 Sb
0.980 0.837 0.400 S
0.163 0.020 0.600 S
0.480 0.337 0.100 S
0.663 0.520 0.900 S
0.846 0.338 0.081 S
0.662 0.154 0.919 S
0.346 0.838 0.419 S
0.162 0.654 0.581 S
0.180 0.792 0.199 S
0.208 0.820 0.801 S
0.680 0.292 0.301 S
0.708 0.320 0.699 S
0.178 0.427 0.189 S
0.573 0.822 0.811 S
0.678 0.927 0.311 S
0.073 0.322 0.689 S
0.871 0.129 0.500 S
0.371 0.629 0.000 S
0.883 0.506 0.491 S
0.494 0.117 0.509 S
0.383 0.006 0.009 S
0.994 0.617 0.991 S
0.187 0.321 0.430 S
0.679 0.813 0.570 S
0.687 0.821 0.070 S
0.179 0.313 0.930 S
0.997 0.120 0.247 S
0.880 0.003 0.753 S
0.497 0.620 0.253 S
0.380 0.503 0.747 S
0.505 0.495 0.500 S
0.005 0.995 0.000 S
0.857 0.610 0.246 S
0.390 0.143 0.754 S
0.357 0.110 0.254 S
0.890 0.643 0.746 S
```



Material: GaSnSbS
Method: DFT, PBE
State: optimized geometry

## Properties
Formation energy from raw total energies   -0.155 eV/atom
V   122 Å³ per cell
Total moment   0.000 μB per formula unit

Structure (POSCAR):
```
GaSnSbS
1.0
4.103 0.014 0.011
2.040 3.560 0.011
-0.030 -0.018 8.367
Ga Sn Sb S
1 1 1 1
Direct
0.239 0.239 0.167 Ga
0.240 0.240 0.486 Sn
0.907 0.907 0.662 Sb
0.572 0.572 0.069 S
```